This record from Alexandria describes Li5Ni9P16O56 after structural relaxation. The functional is PBE+U.

extended XYZ file:
```
86
Lattice="9.703 0.000 0.000 -3.696 10.114 0.000 -1.066 -5.727 11.159" Properties=species:S:1:pos:R:3 pbc="T T T"
Li 0.000 0.000 0.000
Li -0.818 1.712 2.625
Li -0.643 2.142 7.250
Li 3.833 -2.039 9.210
Li 2.579 2.662 10.310
Ni -2.883 4.534 5.968
Ni -2.221 6.210 3.695
Ni -1.519 7.838 1.440
Ni -0.077 0.883 10.292
Ni 1.873 3.482 2.825
Ni 4.442 2.280 0.409
Ni 4.647 -0.084 7.104
Ni 7.105 -1.188 4.539
Ni 4.404 5.715 8.342
P -3.127 1.326 9.352
P -0.084 -2.377 6.222
P -0.662 4.632 1.213
P -2.138 5.342 9.182
P 2.169 0.849 2.219
P 1.489 -0.422 7.741
P 0.222 4.791 5.480
P -0.349 3.562 10.804
P 3.777 -0.989 3.955
P 3.483 5.418 0.740
P 5.589 -3.217 6.662
P 5.166 3.246 3.496
P 4.680 3.077 7.905
P 5.047 7.595 1.898
P 6.557 -3.227 10.953
P 6.808 1.421 5.116
O -0.933 -2.810 7.401
O -3.240 7.519 2.498
O -3.409 1.558 10.841
O -0.781 -1.294 5.409
O -2.300 2.520 5.998
O -3.263 6.554 5.398
O 0.082 -4.642 9.583
O -1.644 1.255 8.995
O -1.237 5.829 1.985
O -0.051 3.567 2.122
O 1.631 -0.258 1.321
O -1.182 4.944 4.884
O -1.950 5.112 7.684
O 0.246 5.057 0.079
O 1.277 -1.702 6.804
O 1.154 1.481 3.177
O -1.632 4.007 9.947
O 0.455 -0.500 8.888
O -0.839 8.010 3.438
O 0.943 0.858 7.090
O 0.229 8.069 0.494
O 0.281 3.771 6.612
O 2.475 -3.643 9.664
O 2.717 2.087 1.432
O 1.305 4.438 4.475
O 3.414 0.312 3.062
O 0.538 6.256 6.045
O 0.676 2.946 9.845
O 2.471 5.080 1.833
O 3.606 -0.637 5.416
O 2.927 -0.473 8.188
O 4.871 0.330 0.511
O 1.832 0.794 11.013
O 2.971 -1.496 11.121
O 5.259 -1.243 3.649
O 3.693 3.544 3.715
O 5.082 -2.089 7.528
O 4.102 1.910 7.159
O 2.634 5.760 7.366
O 5.086 -3.276 10.511
O 2.789 7.283 5.479
O 5.486 2.835 2.063
O 4.784 6.070 1.442
O 5.448 1.985 4.470
O 3.999 7.944 2.934
O 3.835 3.722 9.030
O 6.365 0.177 5.940
O 4.957 8.509 0.681
O 5.708 0.162 8.885
O 5.083 4.304 7.014
O 6.116 4.352 3.989
O 8.177 1.407 0.697
O 7.394 -3.118 9.670
O 7.702 0.879 4.000
O 7.746 3.933 0.534
O 6.083 2.649 8.569
```

SG ... P1 (1)
Size of the total moment ... 4.4 μB per cell
E_tot ... -6.413 eV/atom